Record 1
Computed, not measured: an optimized crystal structure of Ti3Mo at the PBE-GGA level of DFT. Values from VASP.

Geometry as Quantum ESPRESSO input:
```
&SYSTEM
  ibrav = 0, nat = 4, ntyp = 2
/
ATOMIC_SPECIES
Ti 47.87 Ti.upf
Mo 95.94 Mo.upf
CELL_PARAMETERS angstrom
2.7160 0.0000 0.0000
0.0000 4.6121 0.0000
0.0000 0.0000 5.3227
ATOMIC_POSITIONS crystal
Ti 0.0000 0.0000 0.0000
Ti 0.0000 0.5000 0.2812
Ti 0.5000 0.5000 0.7881
Mo 0.5000 0.0000 0.5213
```

The theoretical density is 5.97 g cm⁻³. The calculated volume is 67 Å³/cell. Its space-group type is Pmm2 (25). The value obtained for the energy of formation is 0.06 eV per atom.


Record 2
Computed, not measured: an optimized crystal structure of HoThCd4 at the PBE-GGA level of DFT. Values from VASP.

Geometry as Quantum ESPRESSO input:
```
&SYSTEM
  ibrav = 0, nat = 12, ntyp = 3
/
ATOMIC_SPECIES
Ho 164.93 Ho.upf
Th 232.04 Th.upf
Cd 112.41 Cd.upf
CELL_PARAMETERS angstrom
4.3152 0.0000 0.0000
0.0000 4.3152 0.0000
0.0000 0.0000 17.5474
ATOMIC_POSITIONS crystal
Ho 0.0000 0.0000 0.0000
Ho 0.5000 0.5000 0.5000
Th 0.0000 0.5000 0.2500
Th 0.5000 0.0000 0.7500
Cd 0.0000 0.0000 0.4226
Cd 0.0000 0.0000 0.5774
Cd 0.0000 0.5000 0.6702
Cd 0.0000 0.5000 0.8298
Cd 0.5000 0.0000 0.1702
Cd 0.5000 0.0000 0.3298
Cd 0.5000 0.5000 0.0774
Cd 0.5000 0.5000 0.9226
```

The theoretical density is 8.61 g cm⁻³. The calculated volume is 327 Å³/cell. Its space-group type is I-4m2 (119). The value obtained for the energy of formation is -0.02 eV per atom. The energy above the most stable polymorph in this dataset comes out at 1.30 eV/f.u.


Record 3
Computed, not measured: an optimized crystal structure of GaAgIrO2 at the PBE-GGA level of DFT. Values from VASP.

Geometry as Quantum ESPRESSO input:
```
&SYSTEM
  ibrav = 0, nat = 5, ntyp = 4
/
ATOMIC_SPECIES
Ga 69.72 Ga.upf
Ag 107.87 Ag.upf
Ir 192.22 Ir.upf
O 16.00 O.upf
CELL_PARAMETERS angstrom
3.8587 0.0000 0.0000
0.0000 3.8587 0.0000
0.0000 0.0000 5.4363
ATOMIC_POSITIONS crystal
Ga 0.0000 0.0000 0.0000
Ag 0.5000 0.5000 0.5000
Ir 0.5000 0.5000 0.0000
O 0.0000 0.5000 0.5000
O 0.5000 0.0000 0.5000
```

The theoretical density is 8.24 g cm⁻³. The calculated volume is 81 Å³/cell. Its space-group type is P4/mmm (123). The value obtained for the total energy is -4.117 eV per atom.


Record 4
Computed, not measured: an optimized crystal structure of ScBe at the PBE-GGA level of DFT. Values from VASP.

Geometry as Quantum ESPRESSO input:
```
&SYSTEM
  ibrav = 0, nat = 16, ntyp = 2
/
ATOMIC_SPECIES
Sc 44.96 Sc.upf
Be 9.01 Be.upf
CELL_PARAMETERS angstrom
9.0192 0.0000 0.0000
0.0000 9.0192 0.0000
0.0000 0.0000 3.1106
ATOMIC_POSITIONS crystal
Sc 0.1554 0.1554 0.0000
Sc 0.1554 0.8446 0.0000
Sc 0.3446 0.3446 0.5000
Sc 0.3446 0.6554 0.5000
Sc 0.6554 0.3446 0.5000
Sc 0.6554 0.6554 0.5000
Sc 0.8446 0.1554 0.0000
Sc 0.8446 0.8446 0.0000
Be 0.0000 0.3696 0.5000
Be 0.0000 0.6304 0.5000
Be 0.1304 0.5000 0.0000
Be 0.3696 0.0000 0.5000
Be 0.5000 0.1304 0.0000
Be 0.5000 0.8696 0.0000
Be 0.6304 0.0000 0.5000
Be 0.8696 0.5000 0.0000
```

The theoretical density is 2.83 g cm⁻³. The calculated volume is 253 Å³/cell. Its space-group type is I4/mmm (139). The value obtained for the energy of formation is 0.16 eV per atom.


Record 5
Computed, not measured: an optimized crystal structure of PaSbIO4 at the PBE-GGA level of DFT. Values from VASP.

Geometry as Quantum ESPRESSO input:
```
&SYSTEM
  ibrav = 0, nat = 14, ntyp = 4
/
ATOMIC_SPECIES
Pa 231.04 Pa.upf
Sb 121.76 Sb.upf
I 126.90 I.upf
O 16.00 O.upf
CELL_PARAMETERS angstrom
5.6880 -3.4623 0.0000
5.6880 3.4623 0.0000
-0.3141 0.0000 6.7748
ATOMIC_POSITIONS crystal
Pa 0.2384 0.2384 0.3585
Pa 0.7616 0.7616 0.6415
Sb 0.1074 0.1074 0.8177
Sb 0.8926 0.8926 0.1823
I 0.4818 0.4818 0.7547
I 0.5182 0.5182 0.2453
O 0.0036 0.3817 0.6505
O 0.0614 0.0614 0.3330
O 0.2318 0.2318 0.0544
O 0.3817 0.0036 0.6505
O 0.6183 0.9964 0.3495
O 0.7682 0.7682 0.9456
O 0.9386 0.9386 0.6670
O 0.9964 0.6183 0.3495
```

The theoretical density is 6.77 g cm⁻³. The calculated volume is 267 Å³/cell. Its space-group type is C2/m (12). The value obtained for the total energy is -7.041 eV per atom.


Record 6
Computed, not measured: an optimized crystal structure of Zr2MnCr at the PBE-GGA level of DFT. Values from VASP.

Geometry as Quantum ESPRESSO input:
```
&SYSTEM
  ibrav = 0, nat = 4, ntyp = 3
/
ATOMIC_SPECIES
Zr 91.22 Zr.upf
Mn 54.94 Mn.upf
Cr 52.00 Cr.upf
CELL_PARAMETERS angstrom
3.3810 0.0000 0.0000
0.0000 4.2848 0.0000
0.0000 0.0000 4.8447
ATOMIC_POSITIONS crystal
Zr 0.0000 0.0000 0.0000
Zr 0.5000 0.0000 0.5000
Mn 0.0000 0.5000 0.5000
Cr 0.5000 0.5000 0.0000
```

The theoretical density is 6.85 g cm⁻³. The calculated volume is 70 Å³/cell. Its space-group type is Pmmm (47). The value obtained for the energy of formation is 0.31 eV per atom. The energy above the most stable polymorph in this dataset comes out at 0.99 eV/f.u.


Record 7
Computed, not measured: an optimized crystal structure of TlFe2Pd9 at the PBE-GGA level of DFT. Values from VASP.

Geometry as Quantum ESPRESSO input:
```
&SYSTEM
  ibrav = 0, nat = 12, ntyp = 3
/
ATOMIC_SPECIES
Tl 204.38 Tl.upf
Fe 55.84 Fe.upf
Pd 106.42 Pd.upf
CELL_PARAMETERS angstrom
3.9620 0.0000 0.0000
0.0000 3.9620 0.0000
0.0000 0.0000 11.8470
ATOMIC_POSITIONS crystal
Tl 0.0000 0.0000 0.0000
Fe 0.0000 0.0000 0.3369
Fe 0.0000 0.0000 0.6631
Pd 0.0000 0.5000 0.1815
Pd 0.0000 0.5000 0.5000
Pd 0.0000 0.5000 0.8185
Pd 0.5000 0.0000 0.1815
Pd 0.5000 0.0000 0.5000
Pd 0.5000 0.0000 0.8185
Pd 0.5000 0.5000 0.0000
Pd 0.5000 0.5000 0.3404
Pd 0.5000 0.5000 0.6596
```

The theoretical density is 11.37 g cm⁻³. The calculated volume is 186 Å³/cell. Its space-group type is P4/mmm (123). The value obtained for the energy of formation is -0.12 eV per atom.


Record 8
Computed, not measured: an optimized crystal structure of Cs2RbPa2O7 at the PBE-GGA level of DFT. Values from VASP.

Geometry as Quantum ESPRESSO input:
```
&SYSTEM
  ibrav = 0, nat = 12, ntyp = 4
/
ATOMIC_SPECIES
Cs 132.91 Cs.upf
Rb 85.47 Rb.upf
Pa 231.04 Pa.upf
O 16.00 O.upf
CELL_PARAMETERS angstrom
-2.2236 2.2236 12.0516
2.2236 -2.2236 12.0516
2.2236 2.2236 -12.0516
ATOMIC_POSITIONS crystal
Cs 0.1910 0.1910 0.0000
Cs 0.8090 0.8090 0.0000
Rb 0.0000 0.0000 0.0000
Pa 0.4089 0.4089 0.0000
Pa 0.5911 0.5911 0.0000
O 0.0900 0.5900 0.5000
O 0.3250 0.3250 0.0000
O 0.4100 0.9100 0.5000
O 0.5000 0.5000 0.0000
O 0.5900 0.0900 0.5000
O 0.6750 0.6750 0.0000
O 0.9100 0.4100 0.5000
```

The theoretical density is 6.45 g cm⁻³. The calculated volume is 238 Å³/cell. Its space-group type is I4/mmm (139). The value obtained for the total energy is -7.435 eV per atom.


Record 9
Computed, not measured: an optimized crystal structure of TlCuF3 at the PBE-GGA level of DFT. Values from VASP.

Geometry as Quantum ESPRESSO input:
```
&SYSTEM
  ibrav = 0, nat = 10, ntyp = 3
/
ATOMIC_SPECIES
Tl 204.38 Tl.upf
Cu 63.55 Cu.upf
F 19.00 F.upf
CELL_PARAMETERS angstrom
3.2883 1.8985 4.5704
-3.2883 1.8985 4.5704
0.0000 -3.7970 4.5704
ATOMIC_POSITIONS crystal
Tl 0.0000 0.0000 0.0000
Tl 0.5000 0.5000 0.5000
Cu 0.2500 0.2500 0.2500
Cu 0.7500 0.7500 0.7500
F 0.0374 0.7500 0.4626
F 0.2500 0.5374 0.9626
F 0.4626 0.0374 0.7500
F 0.5374 0.9626 0.2500
F 0.7500 0.4626 0.0374
F 0.9626 0.2500 0.5374
```

The theoretical density is 6.30 g cm⁻³. The calculated volume is 171 Å³/cell. Its space-group type is R-3c (167). The value obtained for the total energy is -3.872 eV per atom.


Record 10
Computed, not measured: an optimized crystal structure of Pm2CoP at the PBE-GGA level of DFT. Values from VASP.

Geometry as Quantum ESPRESSO input:
```
&SYSTEM
  ibrav = 0, nat = 4, ntyp = 3
/
ATOMIC_SPECIES
Pm 145.00 Pm.upf
Co 58.93 Co.upf
P 30.97 P.upf
CELL_PARAMETERS angstrom
4.8655 0.0000 0.0000
0.0000 4.8655 0.0000
0.0000 0.0000 3.6320
ATOMIC_POSITIONS crystal
Pm 0.0000 0.5000 0.0000
Pm 0.5000 0.0000 0.0000
Co 0.0000 0.0000 0.5000
P 0.5000 0.5000 0.5000
```

The theoretical density is 7.34 g cm⁻³. The calculated volume is 86 Å³/cell. Its space-group type is P4/mmm (123). The value obtained for the energy of formation is -0.50 eV per atom. The energy above the most stable polymorph in this dataset comes out at 0.16 eV/f.u.